(1)
## ReMo4W2 (PBE-GGA)

Data for ReMo4W2 after structural relaxation.

Cell: 5.4316 5.4316 5.4316 Å, 102.65 102.65 124.19°
With the nearest neighbours (Å) after each atom.
Atoms (fractional coordinates):
Re1 0.0000 0.0000 0.0000  12 Mo 2.99-3.12
Mo1 0.3111 0.3111 0.6221  4 Mo 2.57-2.80, 4 W 2.78
Mo2 0.3111 0.6889 0.0000  4 Mo 2.57-2.80, 4 W 2.78
Mo3 0.6889 0.3111 0.0000  4 Mo 2.57-2.80, 4 W 2.78
Mo4 0.6889 0.6889 0.3779  4 Mo 2.57-2.80, 4 W 2.78
W1 0.2500 0.7500 0.5000  2 W 2.54, 8 Mo 2.78
W2 0.7500 0.2500 0.5000  2 W 2.54, 8 Mo 2.78

Computed properties:
The energy above the most stable polymorph in this dataset is 2.284 eV/f.u. Its symmetry is No. 139. As for the formation enthalpy at 0 K: 472 kJ/mol of formula units.

=====

(2)
## Ac3NpMn2N6 (PBE-GGA)

Data for Ac3NpMn2N6 after structural relaxation.

Cell: 5.9018 5.9018 6.9601 Å, 90.00 90.00 120.00°
With the nearest neighbours (Å) after each atom.
Atoms (fractional coordinates):
Ac1 0.0000 0.0000 0.0000  6 N 2.73
Ac2 0.3333 0.6667 0.6718  9 N 2.96-3.06, 1 Mn 3.23
Ac3 0.6667 0.3333 0.3282  9 N 2.96-3.06, 1 Mn 3.23
Np1 0.0000 0.0000 0.5000  6 N 2.21
Mn1 0.3333 0.6667 0.2081  3 N 1.80
Mn2 0.6667 0.3333 0.7919  3 N 1.80
N1 0.1694 0.3387 0.3035  1 Mn 1.80
N2 0.1694 0.8306 0.3035  1 Mn 1.80
N3 0.3387 0.1694 0.6965  1 Mn 1.80
N4 0.6613 0.8306 0.3035  1 Mn 1.80
N5 0.8306 0.1694 0.6965  1 Mn 1.80
N6 0.8306 0.6613 0.6965  1 Mn 1.80

Computed properties:
Its formation energy without anion corrections is -10.82 eV per formula unit. Its symmetry is No. 164.

=====

(3)
## YTaRe2 (PBE-GGA)

Data for YTaRe2 after structural relaxation.

Cell: 4.6397 4.6397 4.6397 Å, 60.00 60.00 60.00°
With the nearest neighbours (Å) after each atom.
Atoms (fractional coordinates):
Y1 0.0000 0.0000 0.0000  4 Ta 2.84, 4 Re 2.84
Ta1 0.2500 0.2500 0.2500  4 Re 2.84, 4 Y 2.84
Re1 0.5000 0.5000 0.5000  4 Ta 2.84, 4 Re 2.84
Re2 0.7500 0.7500 0.7500  4 Re 2.84, 4 Y 2.84

Computed properties:
Its symmetry is No. 216. As for the formation enthalpy at 0 K: 100 kJ/mol of formula units.